GGA-PBE Ac2Sn3Ge2, optimized geometry; SG = Cmmm (65); magnetization = 0.0 μB per formula unit; relative energy among the computed polymorphs = 4.7 kJ/mol of atoms; energy relative to the elements = -0.477 eV/atom; final energy = -0.34440 Ry/atom
1.0
2.065 -11.310 0.000
2.065 11.310 0.000
0.000 0.000 4.353
Ac Sn Ge
2 3 2
Direct
0.161 0.839 0.000 Ac
0.839 0.161 0.000 Ac
0.000 0.000 0.000 Sn
0.434 0.566 0.500 Sn
0.566 0.434 0.500 Sn
0.284 0.716 0.500 Ge
0.716 0.284 0.500 Ge

***

GGA-PBE Sr2OsPt2, optimized geometry; SG = P4/mbm (127); magnetization = 1.4 μB per formula unit; relative energy among the computed polymorphs = 73.2 kJ/mol of atoms; energy relative to the elements = 0.573 eV/atom; final energy = -0.34999 Ry/atom
1.0
8.875 0.000 0.000
0.000 8.875 0.000
0.000 0.000 2.937
Sr Os Pt
4 2 4
Direct
0.154 0.346 0.000 Sr
0.346 0.846 0.000 Sr
0.654 0.154 0.000 Sr
0.846 0.654 0.000 Sr
0.000 0.000 0.000 Os
0.500 0.500 0.000 Os
0.145 0.645 0.500 Pt
0.355 0.145 0.500 Pt
0.645 0.855 0.500 Pt
0.855 0.355 0.500 Pt

***

GGA-PBE UAlFe, optimized geometry; SG = Amm2 (38); magnetization = 0.6 μB per formula unit; energy relative to the elements = -0.159 eV/atom; final energy = -0.58729 Ry/atom
1.0
8.555 0.000 0.000
0.000 2.617 4.356
0.000 -2.617 4.356
U Al Fe
4 4 4
Direct
0.178 0.000 0.000 U
0.276 0.307 0.307 U
0.724 0.307 0.307 U
0.822 0.000 0.000 U
0.000 0.513 0.513 Al
0.500 0.318 0.813 Al
0.500 0.813 0.318 Al
0.500 0.816 0.816 Al
0.000 0.005 0.511 Fe
0.000 0.511 0.005 Fe
0.254 0.653 0.653 Fe
0.746 0.653 0.653 Fe

***

GGA-PBE Dy3PuBi4, optimized geometry; SG = Pm-3m (221); magnetization = 5.1 μB per formula unit; relative energy among the computed polymorphs = 0.4 kJ/mol of atoms; energy relative to the elements = -0.715 eV/atom; final energy = -0.45370 Ry/atom
1.0
6.354 0.000 0.000
0.000 6.354 0.000
0.000 0.000 6.354
Dy Pu Bi
3 1 4
Direct
0.000 0.000 0.500 Dy
0.000 0.500 0.000 Dy
0.500 0.000 0.000 Dy
0.500 0.500 0.500 Pu
0.000 0.000 0.000 Bi
0.000 0.500 0.500 Bi
0.500 0.000 0.500 Bi
0.500 0.500 0.000 Bi

***

GGA-PBE BaSbPb2, optimized geometry; SG = F-43m (216); magnetization = 0.0 μB per formula unit; final energy = -0.26899 Ry/atom; formation energy (no corrections) = -114 kJ/mol of formula units
1.0
0.000 4.101 4.101
4.101 0.000 4.101
4.101 4.101 0.000
Ba Sb Pb
1 1 2
Direct
0.000 0.000 0.000 Ba
0.250 0.250 0.250 Sb
0.500 0.500 0.500 Pb
0.750 0.750 0.750 Pb

***

GGA-PBE InFe2Ni8, optimized geometry; SG = C2/m (12); magnetization = 9.4 μB per formula unit; energy relative to the elements = -0.041 eV/atom; final energy = -0.44340 Ry/atom
1.0
6.531 -1.803 0.000
6.531 1.803 0.000
-1.546 0.000 5.552
In Fe Ni
1 2 8
Direct
0.000 0.000 0.000 In
0.273 0.273 0.352 Fe
0.727 0.727 0.648 Fe
0.095 0.095 0.468 Ni
0.186 0.186 0.908 Ni
0.354 0.354 0.799 Ni
0.452 0.452 0.288 Ni
0.548 0.548 0.712 Ni
0.646 0.646 0.201 Ni
0.814 0.814 0.092 Ni
0.905 0.905 0.532 Ni

***

GGA-PBE BeGa3Pt, optimized geometry; SG = Pm-3m (221); magnetization = 0.0 μB per formula unit; relative energy among the computed polymorphs = 0.0 kJ/mol of atoms; energy relative to the elements = 0.273 eV/atom; final energy = -0.25700 Ry/atom
1.0
4.366 0.000 0.000
0.000 4.366 0.000
0.000 0.000 4.366
Be Ga Pt
1 3 1
Direct
0.000 0.000 0.000 Be
0.000 0.000 0.500 Ga
0.000 0.500 0.000 Ga
0.500 0.000 0.000 Ga
0.500 0.500 0.500 Pt

***

GGA-PBE FeCu2Tc, optimized geometry; SG = Pmm2 (25); magnetization = 2.0 μB per formula unit; relative energy among the computed polymorphs = 4.2 kJ/mol of atoms; energy relative to the elements = 0.195 eV/atom; final energy = -0.48219 Ry/atom
1.0
2.558 0.000 0.000
0.000 3.729 0.000
0.000 0.000 5.284
Fe Cu Tc
1 2 1
Direct
0.000 0.000 0.000 Fe
0.000 0.000 0.507 Cu
0.500 0.500 0.735 Cu
0.500 0.500 0.229 Tc

***

GGA-PBE ReNiHg, optimized geometry; SG = P-1 (2); magnetization = 0.0 μB per formula unit; relative energy among the computed polymorphs = 6.8 kJ/mol of atoms; energy relative to the elements = 0.327 eV/atom; final energy = -0.42996 Ry/atom
1.0
2.890 0.000 0.000
1.439 4.498 0.000
1.393 1.418 7.402
Re Ni Hg
2 2 2
Direct
0.154 0.242 0.449 Re
0.846 0.758 0.551 Re
0.497 0.716 0.281 Ni
0.503 0.284 0.719 Ni
0.172 0.772 0.892 Hg
0.828 0.228 0.108 Hg

***

GGA-PBE LiCa3Ga3, optimized geometry; SG = C2/m (12); magnetization = 0.0 μB per formula unit; energy relative to the elements = -0.386 eV/atom; final energy = -0.20687 Ry/atom
1.0
5.402 -2.299 0.000
5.402 2.299 0.000
-5.290 0.000 14.183
Li Ca Ga
2 6 6
Direct
0.169 0.169 0.410 Li
0.831 0.831 0.590 Li
0.156 0.156 0.624 Ca
0.319 0.319 0.927 Ca
0.478 0.478 0.226 Ca
0.522 0.522 0.774 Ca
0.681 0.681 0.073 Ca
0.844 0.844 0.376 Ca
0.023 0.023 0.921 Ga
0.184 0.184 0.230 Ga
0.424 0.424 0.547 Ga
0.576 0.576 0.453 Ga
0.816 0.816 0.770 Ga
0.977 0.977 0.079 Ga

***

GGA-PBE Sc2Zn16Co, optimized geometry; SG = R3m (160); magnetization = 0.8 μB per formula unit; energy relative to the elements = -0.145 eV/atom; final energy = -0.16599 Ry/atom
1.0
4.405 2.543 4.327
-4.405 2.543 4.327
0.000 -5.086 4.327
Sc Zn Co
2 16 1
Direct
0.000 0.000 0.000 Sc
0.347 0.347 0.347 Sc
0.025 0.025 0.498 Zn
0.025 0.498 0.025 Zn
0.173 0.660 0.660 Zn
0.312 0.312 0.813 Zn
0.312 0.813 0.312 Zn
0.370 0.663 0.957 Zn
0.370 0.957 0.663 Zn
0.498 0.025 0.025 Zn
0.660 0.173 0.660 Zn
0.660 0.660 0.173 Zn
0.663 0.370 0.957 Zn
0.663 0.957 0.370 Zn
0.762 0.762 0.762 Zn
0.813 0.312 0.312 Zn
0.957 0.370 0.663 Zn
0.957 0.663 0.370 Zn
0.563 0.563 0.563 Co

***

GGA-PBE RbHoHgTe3, optimized geometry; SG = P2_1/m (11); magnetization = 0.0 μB per formula unit; final energy = -0.25670 Ry/atom; formation energy (no corrections) = -548 kJ/mol of formula units
1.0
9.665 0.000 0.000
0.000 4.523 0.000
-3.633 0.000 10.407
Rb Ho Hg Te
2 2 2 6
Direct
0.222 0.250 0.255 Rb
0.778 0.750 0.745 Rb
0.327 0.750 0.863 Ho
0.673 0.250 0.137 Ho
0.085 0.250 0.614 Hg
0.915 0.750 0.386 Hg
0.106 0.250 0.874 Te
0.239 0.750 0.552 Te
0.464 0.750 0.154 Te
0.536 0.250 0.846 Te
0.761 0.250 0.448 Te
0.894 0.750 0.126 Te

***

GGA-PBE NaLi3La, optimized geometry; SG = Pm-3m (221); magnetization = 0.0 μB per formula unit; relative energy among the computed polymorphs = 51.1 kJ/mol of atoms; energy relative to the elements = 0.900 eV/atom; final energy = -0.11007 Ry/atom
1.0
5.994 0.000 0.000
0.000 5.994 0.000
0.000 0.000 5.994
Na Li La
1 3 1
Direct
0.000 0.000 0.000 Na
0.000 0.500 0.500 Li
0.500 0.000 0.500 Li
0.500 0.500 0.000 Li
0.500 0.500 0.500 La

***

GGA-PBE Na2YAgRh, optimized geometry; SG = P4/mmm (123); magnetization = 0.0 μB per formula unit; energy relative to the elements = 0.834 eV/atom; final energy = -0.22248 Ry/atom
1.0
6.227 0.000 0.000
0.000 6.227 0.000
0.000 0.000 4.792
Na Y Ag Rh
2 1 1 1
Direct
0.000 0.500 0.000 Na
0.500 0.000 0.000 Na
0.000 0.000 0.000 Y
0.500 0.500 0.500 Ag
0.000 0.000 0.500 Rh

***

GGA-PBE Er5MgSc4, optimized geometry; SG = P4/mmm (123); magnetization = 0.0 μB per formula unit; energy relative to the elements = 0.026 eV/atom; final energy = -0.36362 Ry/atom
1.0
3.435 0.000 0.000
0.000 3.435 0.000
0.000 0.000 23.185
Er Mg Sc
5 1 4
Direct
0.000 0.000 0.000 Er
0.000 0.000 0.201 Er
0.000 0.000 0.400 Er
0.000 0.000 0.600 Er
0.000 0.000 0.799 Er
0.500 0.500 0.500 Mg
0.500 0.500 0.101 Sc
0.500 0.500 0.302 Sc
0.500 0.500 0.698 Sc
0.500 0.500 0.899 Sc

***

GGA-PBE KCd2PdAu, optimized geometry; SG = P4/mmm (123); magnetization = 0.0 μB per formula unit; energy relative to the elements = -0.150 eV/atom; final energy = -0.17857 Ry/atom
1.0
5.233 0.000 0.000
0.000 5.233 0.000
0.000 0.000 5.336
K Cd Pd Au
1 2 1 1
Direct
0.000 0.000 0.000 K
0.000 0.500 0.500 Cd
0.500 0.000 0.500 Cd
0.500 0.500 0.500 Pd
0.500 0.500 0.000 Au

***

GGA-PBE Rb2NaTl6Sn, optimized geometry; SG = Fm-3m (225); magnetization = 0.0 μB per formula unit; energy relative to the elements = 0.055 eV/atom; final energy = -0.15365 Ry/atom
1.0
0.000 5.951 5.951
5.951 0.000 5.951
5.951 5.951 0.000
Rb Na Tl Sn
2 1 6 1
Direct
0.250 0.250 0.250 Rb
0.750 0.750 0.750 Rb
0.000 0.000 0.000 Na
0.252 0.252 0.748 Tl
0.252 0.748 0.252 Tl
0.252 0.748 0.748 Tl
0.748 0.252 0.252 Tl
0.748 0.252 0.748 Tl
0.748 0.748 0.252 Tl
0.500 0.500 0.500 Sn

***

GGA-PBE YNbTc2, optimized geometry; SG = Immm (71); magnetization = 0.0 μB per formula unit; energy relative to the elements = 0.780 eV/atom; final energy = -0.62744 Ry/atom
1.0
-1.404 2.532 5.401
1.404 -2.532 5.401
1.404 2.532 -5.401
Y Nb Tc
1 1 2
Direct
0.000 0.000 0.000 Y
0.500 0.500 0.000 Nb
0.270 0.270 0.000 Tc
0.730 0.730 0.000 Tc

***

GGA-PBE CeGeRhN, optimized geometry; SG = P4/nmm (129); magnetization = 0.5 μB per formula unit; final energy = -0.55075 Ry/atom; formation energy (no corrections) = -361 kJ/mol of formula units
1.0
3.991 0.000 0.000
0.000 3.991 0.000
0.000 0.000 8.441
Ce Ge Rh N
2 2 2 2
Direct
0.250 0.250 0.153 Ce
0.750 0.750 0.847 Ce
0.250 0.250 0.663 Ge
0.750 0.750 0.337 Ge
0.250 0.750 0.500 Rh
0.750 0.250 0.500 Rh
0.250 0.250 0.890 N
0.750 0.750 0.110 N

***

GGA-PBE SrGaCuAu3, optimized geometry; SG = Cmcm (63); magnetization = 0.0 μB per formula unit; energy relative to the elements = -0.329 eV/atom; final energy = -0.25249 Ry/atom
1.0
3.446 -6.095 0.000
3.446 6.095 0.000
0.000 0.000 6.322
Sr Ga Cu Au
2 2 2 6
Direct
0.214 0.786 0.750 Sr
0.786 0.214 0.250 Sr
0.120 0.880 0.250 Ga
0.880 0.120 0.750 Ga
0.460 0.540 0.750 Cu
0.540 0.460 0.250 Cu
0.217 0.217 0.000 Au
0.217 0.217 0.500 Au
0.327 0.673 0.250 Au
0.673 0.327 0.750 Au
0.783 0.783 0.000 Au
0.783 0.783 0.500 Au